Version 1
RbScZn | PBE | optimized geometry

Cell and atoms, written as CIF:
```
data_RbScZn
_chemical_formula_sum 'Rb1 Sc1 Zn1'
_symmetry_space_group_name_H-M 'P 1'
_symmetry_Int_Tables_number 1
_symmetry_space_group_name_Hall 'P 1'
_cell_length_a 5.436
_cell_length_b 5.436
_cell_length_c 5.436
_cell_angle_alpha 60.00
_cell_angle_beta 60.00
_cell_angle_gamma 60.00
loop_
_atom_site_label
_atom_site_type_symbol
_atom_site_fract_x
_atom_site_fract_y
_atom_site_fract_z
Rb1 Rb 0.000 0.000 0.000
Sc1 Sc 0.250 0.250 0.250
Zn1 Zn 0.750 0.750 0.750
```

The value obtained for the volume is 113.6 Å³/cell. The space group is F-43m.

Version 2
RbScZn | PBE | optimized geometry

Cell and atoms, written as CIF:
```
data_RbScZn
_chemical_formula_sum 'Rb1 Sc1 Zn1'
_symmetry_space_group_name_H-M 'P 1'
_symmetry_Int_Tables_number 1
_symmetry_space_group_name_Hall 'P 1'
_cell_length_a 5.312
_cell_length_b 5.312
_cell_length_c 5.312
_cell_angle_alpha 60.00
_cell_angle_beta 60.00
_cell_angle_gamma 60.00
loop_
_atom_site_label
_atom_site_type_symbol
_atom_site_fract_x
_atom_site_fract_y
_atom_site_fract_z
Rb1 Rb 0.250 0.250 0.250
Sc1 Sc 0.750 0.750 0.750
Zn1 Zn 0.000 0.000 0.000
```

The value obtained for the volume is 106.0 Å³/cell. The space group is F-43m.

Going by the energies, version 2 is most stable and the next is 451 meV per atom up.

Version 1
RbYTmSe3 | PBE | optimized geometry

Cell and atoms, written as CIF:
```
data_RbYTmSe3
_chemical_formula_sum 'Rb2 Y2 Tm2 Se6'
_symmetry_space_group_name_H-M 'P 1'
_symmetry_Int_Tables_number 1
_symmetry_space_group_name_Hall 'P 1'
_cell_length_a 8.156
_cell_length_b 8.156
_cell_length_c 11.199
_cell_angle_alpha 90.00
_cell_angle_beta 90.00
_cell_angle_gamma 148.28
loop_
_atom_site_label
_atom_site_type_symbol
_atom_site_fract_x
_atom_site_fract_y
_atom_site_fract_z
Rb1 Rb 0.261 0.739 0.250
Rb2 Rb 0.739 0.261 0.750
Se1 Se 0.623 0.377 0.047
Se2 Se 0.938 0.062 0.250
Se3 Se 0.623 0.377 0.453
Se4 Se 0.377 0.623 0.547
Se5 Se 0.062 0.938 0.750
Se6 Se 0.377 0.623 0.953
Tm1 Tm 0.534 0.466 0.250
Tm2 Tm 0.466 0.534 0.750
Y1 Y 0.000 0.000 0.000
Y2 Y 0.000 0.000 0.500
```

The value obtained for the volume is 391.6 Å³/cell. The space group is Cmcm.

Version 2
RbYTmSe3 | PBE | optimized geometry

Cell and atoms, written as CIF:
```
data_RbYTmSe3
_chemical_formula_sum 'Rb2 Y2 Tm2 Se6'
_symmetry_space_group_name_H-M 'P 1'
_symmetry_Int_Tables_number 1
_symmetry_space_group_name_Hall 'P 1'
_cell_length_a 9.194
_cell_length_b 9.194
_cell_length_c 9.494
_cell_angle_alpha 102.47
_cell_angle_beta 102.47
_cell_angle_gamma 26.15
loop_
_atom_site_label
_atom_site_type_symbol
_atom_site_fract_x
_atom_site_fract_y
_atom_site_fract_z
Rb1 Rb 0.153 0.153 0.064
Rb2 Rb 0.847 0.847 0.936
Se1 Se 0.500 0.500 0.000
Se2 Se 0.342 0.342 0.225
Se3 Se 0.667 0.667 0.360
Se4 Se 0.000 0.000 0.500
Se5 Se 0.333 0.333 0.640
Se6 Se 0.658 0.658 0.775
Tm1 Tm 0.502 0.502 0.287
Tm2 Tm 0.498 0.498 0.713
Y1 Y 0.832 0.832 0.428
Y2 Y 0.168 0.168 0.572
```

The value obtained for the volume is 344.8 Å³/cell. The space group is C2/m.

Going by the energies, version 2 is most stable and the next is 98 meV per atom up.

Version 1
RbTmZrSe3 | PBE | optimized geometry

Cell and atoms, written as CIF:
```
data_RbTmZrSe3
_chemical_formula_sum 'Rb2 Tm2 Zr2 Se6'
_symmetry_space_group_name_H-M 'P 1'
_symmetry_Int_Tables_number 1
_symmetry_space_group_name_Hall 'P 1'
_cell_length_a 8.146
_cell_length_b 8.146
_cell_length_c 10.762
_cell_angle_alpha 90.00
_cell_angle_beta 90.00
_cell_angle_gamma 149.41
loop_
_atom_site_label
_atom_site_type_symbol
_atom_site_fract_x
_atom_site_fract_y
_atom_site_fract_z
Rb1 Rb 0.246 0.754 0.250
Rb2 Rb 0.754 0.246 0.750
Se1 Se 0.880 0.120 0.048
Se2 Se 0.568 0.432 0.250
Se3 Se 0.880 0.120 0.452
Se4 Se 0.120 0.880 0.548
Se5 Se 0.432 0.568 0.750
Se6 Se 0.120 0.880 0.952
Tm1 Tm 0.500 0.500 0.000
Tm2 Tm 0.500 0.500 0.500
Zr1 Zr 0.973 0.027 0.250
Zr2 Zr 0.027 0.973 0.750
```

The value obtained for the volume is 363.4 Å³/cell. The space group is Cmcm.

Version 2
RbTmZrSe3 | PBE | optimized geometry

Cell and atoms, written as CIF:
```
data_RbTmZrSe3
_chemical_formula_sum 'Rb2 Tm2 Zr2 Se6'
_symmetry_space_group_name_H-M 'P 1'
_symmetry_Int_Tables_number 1
_symmetry_space_group_name_Hall 'P 1'
_cell_length_a 8.229
_cell_length_b 8.229
_cell_length_c 10.733
_cell_angle_alpha 90.00
_cell_angle_beta 90.00
_cell_angle_gamma 150.25
loop_
_atom_site_label
_atom_site_type_symbol
_atom_site_fract_x
_atom_site_fract_y
_atom_site_fract_z
Rb1 Rb 0.256 0.744 0.250
Rb2 Rb 0.744 0.256 0.750
Se1 Se 0.618 0.382 0.035
Se2 Se 0.930 0.070 0.250
Se3 Se 0.618 0.382 0.465
Se4 Se 0.382 0.618 0.535
Se5 Se 0.070 0.930 0.750
Se6 Se 0.382 0.618 0.965
Tm1 Tm 0.533 0.467 0.250
Tm2 Tm 0.467 0.533 0.750
Zr1 Zr 0.000 0.000 0.000
Zr2 Zr 0.000 0.000 0.500
```

The value obtained for the volume is 360.6 Å³/cell. The space group is Cmcm.

Going by the energies, version 1 is most stable and the next is 44 meV per atom up.

Version 1
RbYZrSe3 | PBE | optimized geometry

Cell and atoms, written as CIF:
```
data_RbYZrSe3
_chemical_formula_sum 'Rb2 Y2 Zr2 Se6'
_symmetry_space_group_name_H-M 'P 1'
_symmetry_Int_Tables_number 1
_symmetry_space_group_name_Hall 'P 1'
_cell_length_a 8.233
_cell_length_b 8.233
_cell_length_c 10.766
_cell_angle_alpha 90.00
_cell_angle_beta 90.00
_cell_angle_gamma 150.00
loop_
_atom_site_label
_atom_site_type_symbol
_atom_site_fract_x
_atom_site_fract_y
_atom_site_fract_z
Rb1 Rb 0.756 0.244 0.250
Rb2 Rb 0.244 0.756 0.750
Se1 Se 0.118 0.882 0.031
Se2 Se 0.428 0.572 0.250
Se3 Se 0.118 0.882 0.469
Se4 Se 0.882 0.118 0.531
Se5 Se 0.572 0.428 0.750
Se6 Se 0.882 0.118 0.969
Y1 Y 0.032 0.968 0.250
Y2 Y 0.968 0.032 0.750
Zr1 Zr 0.500 0.500 0.000
Zr2 Zr 0.500 0.500 0.500
```

The value obtained for the volume is 364.8 Å³/cell. The space group is Cmcm.

Version 2
RbYZrSe3 | PBE | optimized geometry

Cell and atoms, written as CIF:
```
data_RbYZrSe3
_chemical_formula_sum 'Rb2 Y2 Zr2 Se6'
_symmetry_space_group_name_H-M 'P 1'
_symmetry_Int_Tables_number 1
_symmetry_space_group_name_Hall 'P 1'
_cell_length_a 8.122
_cell_length_b 8.122
_cell_length_c 10.906
_cell_angle_alpha 90.00
_cell_angle_beta 90.00
_cell_angle_gamma 148.95
loop_
_atom_site_label
_atom_site_type_symbol
_atom_site_fract_x
_atom_site_fract_y
_atom_site_fract_z
Rb1 Rb 0.754 0.246 0.250
Rb2 Rb 0.246 0.754 0.750
Se1 Se 0.121 0.879 0.053
Se2 Se 0.431 0.569 0.250
Se3 Se 0.121 0.879 0.447
Se4 Se 0.879 0.121 0.553
Se5 Se 0.569 0.431 0.750
Se6 Se 0.879 0.121 0.947
Y1 Y 0.500 0.500 0.000
Y2 Y 0.500 0.500 0.500
Zr1 Zr 0.026 0.974 0.250
Zr2 Zr 0.974 0.026 0.750
```

The value obtained for the volume is 371.1 Å³/cell. The space group is Cmcm.

Going by the energies, version 2 is most stable and the next is 81 meV per atom up.